Record 1
Density functional theory data (PBEsol) for a geometry-optimized MnZnIn2 structure.

```
MnZnIn2
1.0
9.0082 0.0000 0.0000
0.0000 3.1519 0.0000
-1.0815 0.0000 5.2710
Mn Zn In
2 2 4
direct
0.0000 0.0000 0.0000 Mn
0.5000 0.5000 0.0000 Mn
0.0000 0.5000 0.5000 Zn
0.5000 0.0000 0.5000 Zn
0.2489 0.5000 0.2458 In
0.2511 0.0000 0.7542 In
0.7489 0.0000 0.2458 In
0.7511 0.5000 0.7542 In
```

* ΔH_f (0 K): 287 meV/atom
* final energy: -4.041 eV/atom
* space group: No. 12

Record 2
Density functional theory data (PBEsol) for a geometry-optimized ZrMnZnIn2 structure.

```
ZrMnZnIn2
1.0
5.4235 0.0000 0.0000
0.0000 5.4235 0.0000
0.0000 0.0000 5.0457
Zr Mn Zn In
1 1 1 2
direct
0.0000 0.0000 0.0000 Zr
0.5000 0.5000 0.5000 Mn
0.0000 0.0000 0.5000 Zn
0.0000 0.5000 0.0000 In
0.5000 0.0000 0.0000 In
```

* ΔH_f (0 K): 1205 meV/atom
* final energy: -4.075 eV/atom
* space group: No. 123

Record 3
Density functional theory data (PBEsol) for a geometry-optimized Zr2MnIn structure.

```
Zr2MnIn
1.0
3.1773 0.0000 0.0000
0.0000 3.1773 0.0000
0.0000 0.0000 7.3187
Zr Mn In
2 1 1
direct
0.0000 0.0000 0.2076 Zr
0.0000 0.0000 0.7924 Zr
0.5000 0.5000 0.0000 Mn
0.5000 0.5000 0.5000 In
```

* ΔH_f (0 K): -209 meV/atom
* final energy: -7.939 eV/atom
* space group: No. 123

Record 4
Density functional theory data (PBEsol) for a geometry-optimized Zr2MnIn structure.

```
Zr2MnIn
1.0
3.2319 0.0000 0.0000
0.0000 4.7351 0.0000
0.0000 0.0000 9.7616
Zr Mn In
4 2 2
direct
0.0000 0.0000 0.0000 Zr
0.0000 0.5000 0.2122 Zr
0.5000 0.0000 0.7122 Zr
0.5000 0.5000 0.5000 Zr
0.0000 0.0000 0.5079 Mn
0.5000 0.5000 0.0079 Mn
0.0000 0.5000 0.7865 In
0.5000 0.0000 0.2865 In
```

* ΔH_f (0 K): -35 meV/atom
* final energy: -7.766 eV/atom
* space group: No. 44

Record 5
Density functional theory data (PBEsol) for a geometry-optimized InMo2 structure.

```
InMo2
1.0
6.1780 0.0000 0.0000
0.0000 6.1780 0.0000
0.0000 0.0000 6.1780
In Mo
4 8
direct
0.0000 0.0000 0.0000 In
0.0000 0.5000 0.5000 In
0.5000 0.0000 0.5000 In
0.5000 0.5000 0.0000 In
0.2500 0.2500 0.2500 Mo
0.2500 0.2500 0.7500 Mo
0.2500 0.7500 0.2500 Mo
0.2500 0.7500 0.7500 Mo
0.7500 0.2500 0.2500 Mo
0.7500 0.2500 0.7500 Mo
0.7500 0.7500 0.2500 Mo
0.7500 0.7500 0.7500 Mo
```

* ΔH_f (0 K): 1450 meV/atom
* relative energy among the computed polymorphs: 1097 meV/atom
* final energy: -7.389 eV/atom
* space group: No. 225

Record 6
Density functional theory data (PBEsol) for a geometry-optimized InMo3 structure.

```
InMo3
1.0
2.9918 0.0000 0.0000
-1.4959 2.5910 0.0000
0.0000 0.0000 26.1537
In Mo
3 9
direct
0.0000 0.0000 0.0000 In
0.3333 0.6667 0.6667 In
0.6667 0.3333 0.3333 In
0.0000 0.0000 0.2417 Mo
0.0000 0.0000 0.5000 Mo
0.0000 0.0000 0.7583 Mo
0.3333 0.6667 0.1667 Mo
0.3333 0.6667 0.4250 Mo
0.3333 0.6667 0.9083 Mo
0.6667 0.3333 0.0917 Mo
0.6667 0.3333 0.5750 Mo
0.6667 0.3333 0.8333 Mo
```

* ΔH_f (0 K): 391 meV/atom
* final energy: -9.181 eV/atom
* space group: No. 166

Record 7
Density functional theory data (PBEsol) for a geometry-optimized InMo4 structure.

```
InMo4
1.0
6.0585 0.0000 0.0000
0.0000 6.0585 0.0000
0.0000 0.0000 4.4319
In Mo
2 8
direct
0.0000 0.0000 0.0000 In
0.5000 0.5000 0.5000 In
0.0769 0.6993 0.5000 Mo
0.1993 0.4231 0.0000 Mo
0.3007 0.0769 0.5000 Mo
0.4231 0.8007 0.0000 Mo
0.5769 0.1993 0.0000 Mo
0.6993 0.9231 0.5000 Mo
0.8007 0.5769 0.0000 Mo
0.9231 0.3007 0.5000 Mo
```

* ΔH_f (0 K): 321 meV/atom
* relative energy among the computed polymorphs: 0 meV/atom
* final energy: -9.690 eV/atom
* space group: No. 87

Record 8
Density functional theory data (PBEsol) for a geometry-optimized InMo2 structure.

```
InMo2
1.0
3.0438 0.0000 0.0000
-1.5219 2.6360 0.0000
0.0000 0.0000 6.6228
In Mo
1 2
direct
0.0000 0.0000 0.0000 In
0.3333 0.6667 0.3643 Mo
0.6667 0.3333 0.6357 Mo
```

* ΔH_f (0 K): 353 meV/atom
* relative energy among the computed polymorphs: 0 meV/atom
* final energy: -8.486 eV/atom
* space group: No. 164

Record 9
Density functional theory data (PBEsol) for a geometry-optimized InMo4 structure.

```
InMo4
1.0
4.1846 0.0000 0.0000
0.0000 4.1846 0.0000
0.0000 0.0000 10.6740
In Mo
2 8
direct
0.0000 0.0000 0.0000 In
0.5000 0.5000 0.5000 In
0.0000 0.0000 0.3820 Mo
0.0000 0.0000 0.6180 Mo
0.0000 0.5000 0.2500 Mo
0.0000 0.5000 0.7500 Mo
0.5000 0.0000 0.2500 Mo
0.5000 0.0000 0.7500 Mo
0.5000 0.5000 0.1180 Mo
0.5000 0.5000 0.8820 Mo
```

* ΔH_f (0 K): 698 meV/atom
* relative energy among the computed polymorphs: 378 meV/atom
* final energy: -9.312 eV/atom
* space group: No. 139

Record 10
Density functional theory data (PBEsol) for a geometry-optimized InMo3N structure.

```
InMo3N
1.0
4.8154 0.0000 0.0000
0.0000 4.8154 0.0000
0.0000 0.0000 4.8154
In Mo N
1 3 1
direct
0.0000 0.0000 0.0000 In
0.0000 0.0000 0.5000 Mo
0.0000 0.5000 0.0000 Mo
0.5000 0.0000 0.0000 Mo
0.5000 0.5000 0.5000 N
```

* formation energy (no corrections): 3.780 eV/atom
* relative energy among the computed polymorphs: 3955 meV/atom
* final energy: -5.582 eV/atom
* space group: No. 221

Record 11
Density functional theory data (PBEsol) for a geometry-optimized InMo3N structure.

```
InMo3N
1.0
4.1345 0.0000 0.0000
0.0000 4.1345 0.0000
0.0000 0.0000 4.1345
In Mo N
1 3 1
direct
0.0000 0.0000 0.0000 In
0.0000 0.5000 0.5000 Mo
0.5000 0.0000 0.5000 Mo
0.5000 0.5000 0.0000 Mo
0.5000 0.5000 0.5000 N
```

* formation energy (no corrections): -0.174 eV/atom
* relative energy among the computed polymorphs: 0 meV/atom
* final energy: -9.537 eV/atom
* space group: No. 221

Record 12
Density functional theory data (PBEsol) for a geometry-optimized InMoN2O structure.

```
InMoN2O
1.0
4.0682 0.0000 0.0000
0.0000 4.0682 0.0000
0.0000 0.0000 4.0110
In Mo N O
1 1 2 1
direct
0.0000 0.0000 0.0000 In
0.5000 0.5000 0.5000 Mo
0.0000 0.5000 0.0000 N
0.5000 0.0000 0.0000 N
0.0000 0.0000 0.5000 O
```

* formation energy (no corrections): 1.392 eV/atom
* final energy: -6.019 eV/atom
* space group: No. 123

Record 13
Density functional theory data (PBEsol) for a geometry-optimized InMoNO2 structure.

```
InMoNO2
1.0
3.8657 0.0000 0.0000
0.0000 3.8657 0.0000
0.0000 0.0000 4.0783
In Mo N O
1 1 1 2
direct
0.0000 0.0000 0.0000 In
0.5000 0.5000 0.5000 Mo
0.5000 0.5000 0.0000 N
0.0000 0.5000 0.5000 O
0.5000 0.0000 0.5000 O
```

* formation energy (no corrections): -0.961 eV/atom
* final energy: -7.716 eV/atom
* space group: No. 123

Record 14
Density functional theory data (PBEsol) for a geometry-optimized ScInMoN2 structure.

```
ScInMoN2
1.0
4.0597 0.0000 0.0000
0.0000 4.0597 0.0000
0.0000 0.0000 5.1358
Sc In Mo N
1 1 1 2
direct
0.0000 0.0000 0.0000 Sc
0.5000 0.5000 0.5000 In
0.0000 0.0000 0.5000 Mo
0.0000 0.5000 0.0000 N
0.5000 0.0000 0.0000 N
```

* formation energy (no corrections): 1.294 eV/atom
* final energy: -6.388 eV/atom
* space group: No. 123

Record 15
Density functional theory data (PBEsol) for a geometry-optimized YIn2MoN structure.

```
YIn2MoN
1.0
5.3983 0.0000 0.0000
0.0000 5.3983 0.0000
0.0000 0.0000 3.7904
Y In Mo N
1 2 1 1
direct
0.0000 0.0000 0.0000 Y
0.0000 0.5000 0.5000 In
0.5000 0.0000 0.5000 In
0.5000 0.5000 0.5000 Mo
0.5000 0.5000 0.0000 N
```

* formation energy (no corrections): 0.202 eV/atom
* final energy: -6.414 eV/atom
* space group: No. 123

Record 16
Density functional theory data (PBEsol) for a geometry-optimized NaIn3Mo structure.

```
NaIn3Mo
1.0
5.2335 0.0000 0.0000
0.0000 5.2335 0.0000
0.0000 0.0000 5.2335
Na In Mo
1 3 1
direct
0.0000 0.0000 0.0000 Na
0.0000 0.5000 0.5000 In
0.5000 0.0000 0.5000 In
0.5000 0.5000 0.0000 In
0.5000 0.5000 0.5000 Mo
```

* ΔH_f (0 K): 337 meV/atom
* final energy: -4.086 eV/atom
* space group: No. 221

Record 17
Density functional theory data (PBEsol) for a geometry-optimized Na2In2Mo5O16 structure.

```
Na2In2Mo5O16
1.0
5.7802 0.0000 0.0000
-2.8901 5.0058 0.0000
0.0000 0.0000 11.2415
Na In Mo O
2 2 5 16
direct
0.0000 0.0000 0.0000 Na
0.3333 0.6667 0.2329 Na
0.0000 0.0000 0.2990 In
0.0000 0.0000 0.7136 In
0.0344 0.5172 0.5122 Mo
0.3333 0.6667 0.8777 Mo
0.4828 0.5172 0.5122 Mo
0.4828 0.9656 0.5122 Mo
0.6667 0.3333 0.1247 Mo
0.1618 0.3236 0.8388 O
0.1618 0.8382 0.8388 O
0.1770 0.3541 0.3984 O
0.1770 0.8230 0.3984 O
0.3257 0.1628 0.1718 O
0.3333 0.6667 0.0325 O
0.3333 0.6667 0.6376 O
0.3401 0.1701 0.5989 O
0.6459 0.8230 0.3984 O
0.6667 0.3333 0.4236 O
0.6667 0.3333 0.9737 O
0.6764 0.8382 0.8388 O
0.8299 0.1701 0.5989 O
0.8299 0.6599 0.5989 O
0.8372 0.1628 0.1718 O
0.8372 0.6743 0.1718 O
```

* formation energy (no corrections): -1.942 eV/atom
* final energy: -8.005 eV/atom
* space group: No. 156

Record 18
Density functional theory data (PBEsol) for a geometry-optimized NaIn2MoP structure.

```
NaIn2MoP
1.0
5.2220 0.0000 0.0000
0.0000 5.2220 0.0000
0.0000 0.0000 5.4551
Na In Mo P
1 2 1 1
direct
0.0000 0.0000 0.0000 Na
0.0000 0.5000 0.5000 In
0.5000 0.0000 0.5000 In
0.0000 0.0000 0.5000 Mo
0.5000 0.5000 0.0000 P
```

* ΔH_f (0 K): 1326 meV/atom
* final energy: -3.659 eV/atom
* space group: No. 123

Record 19
Density functional theory data (PBEsol) for a geometry-optimized NaInMo6Se6 structure.

```
NaInMo6Se6
1.0
8.6640 0.0000 0.0000
-4.3320 7.5032 0.0000
0.0000 0.0000 4.4717
Na In Mo Se
1 1 6 6
direct
0.0000 0.0000 0.0000 Na
0.3333 0.6667 0.5000 In
0.4744 0.2944 0.0000 Mo
0.5140 0.1411 0.5000 Mo
0.6270 0.4860 0.5000 Mo
0.7056 0.1801 0.0000 Mo
0.8199 0.5256 0.0000 Mo
0.8589 0.3730 0.5000 Mo
0.0450 0.4105 0.0000 Se
0.2867 0.2541 0.5000 Se
0.3655 0.9550 0.0000 Se
0.5895 0.6345 0.0000 Se
0.7459 0.0327 0.5000 Se
0.9673 0.7133 0.5000 Se
```

* formation energy (no corrections): -0.543 eV/atom
* final energy: -7.549 eV/atom
* space group: No. 174

Record 20
Density functional theory data (PBEsol) for a geometry-optimized NaInSn2Mo structure.

```
NaInSn2Mo
1.0
5.1781 0.0000 0.0000
0.0000 5.1781 0.0000
0.0000 0.0000 5.1242
Na In Sn Mo
1 1 2 1
direct
0.0000 0.0000 0.0000 Na
0.0000 0.0000 0.5000 In
0.0000 0.5000 0.0000 Sn
0.5000 0.0000 0.0000 Sn
0.5000 0.5000 0.5000 Mo
```

* ΔH_f (0 K): 1417 meV/atom
* final energy: -3.517 eV/atom
* space group: No. 123

Record 21
Density functional theory data (PBEsol) for a geometry-optimized TaNbInMo2 structure.

```
TaNbInMo2
1.0
4.7166 0.0000 0.0000
0.0000 4.7166 0.0000
0.0000 0.0000 4.8446
Ta Nb In Mo
1 1 1 2
direct
0.0000 0.0000 0.0000 Ta
0.0000 0.0000 0.5000 Nb
0.5000 0.5000 0.0000 In
0.0000 0.5000 0.5000 Mo
0.5000 0.0000 0.5000 Mo
```

* ΔH_f (0 K): 1654 meV/atom
* final energy: -8.324 eV/atom
* space group: No. 123

Record 22
Density functional theory data (PBEsol) for a geometry-optimized InNi2Mo structure.

```
InNi2Mo
1.0
2.7311 0.0000 0.0000
0.0000 4.4414 0.0000
0.0000 0.0000 9.1155
In Ni Mo
2 4 2
direct
0.0000 0.0000 0.0000 In
0.5000 0.5000 0.5000 In
0.0000 0.0000 0.5232 Ni
0.0000 0.5000 0.2472 Ni
0.5000 0.0000 0.7472 Ni
0.5000 0.5000 0.0232 Ni
0.0000 0.5000 0.7795 Mo
0.5000 0.0000 0.2795 Mo
```

* ΔH_f (0 K): 154 meV/atom
* final energy: -6.613 eV/atom
* space group: No. 44

Record 23
Density functional theory data (PBEsol) for a geometry-optimized InNi6Mo structure.

```
InNi6Mo
1.0
3.6250 -5.1246 0.0000
3.6250 5.1246 0.0000
0.0000 0.0000 10.2729
In Ni Mo
4 24 4
direct
0.0000 0.0000 0.2487 In
0.0000 0.0000 0.7513 In
0.2470 0.7530 0.5000 In
0.7530 0.2470 0.5000 In
0.0000 0.0000 0.0000 Ni
0.0000 0.0000 0.5000 Ni
0.1294 0.3846 0.1200 Ni
0.1294 0.3846 0.8800 Ni
0.1360 0.3809 0.3692 Ni
0.1360 0.3809 0.6308 Ni
0.2551 0.7449 0.2410 Ni
0.2551 0.7449 0.7590 Ni
0.3809 0.1360 0.3692 Ni
0.3809 0.1360 0.6308 Ni
0.3846 0.1294 0.1200 Ni
0.3846 0.1294 0.8800 Ni
0.5000 0.5000 0.0000 Ni
0.5000 0.5000 0.5000 Ni
0.6154 0.8706 0.1200 Ni
0.6154 0.8706 0.8800 Ni
0.6191 0.8640 0.3692 Ni
0.6191 0.8640 0.6308 Ni
0.7449 0.2551 0.2410 Ni
0.7449 0.2551 0.7590 Ni
0.8640 0.6191 0.3692 Ni
0.8640 0.6191 0.6308 Ni
0.8706 0.6154 0.1200 Ni
0.8706 0.6154 0.8800 Ni
0.2513 0.7487 0.0000 Mo
0.5000 0.5000 0.2537 Mo
0.5000 0.5000 0.7463 Mo
0.7487 0.2513 0.0000 Mo
```

* ΔH_f (0 K): -85 meV/atom
* final energy: -6.547 eV/atom
* space group: No. 65

Record 24
Density functional theory data (PBEsol) for a geometry-optimized InNi2Mo structure.

```
InNi2Mo
1.0
3.8063 0.0000 0.0000
0.0000 3.8063 0.0000
0.0000 0.0000 7.6794
In Ni Mo
2 4 2
direct
0.0000 0.0000 0.0000 In
0.5000 0.5000 0.5000 In
0.0000 0.0000 0.5000 Ni
0.0000 0.5000 0.7500 Ni
0.5000 0.0000 0.2500 Ni
0.5000 0.5000 0.0000 Ni
0.0000 0.5000 0.2500 Mo
0.5000 0.0000 0.7500 Mo
```

* ΔH_f (0 K): 241 meV/atom
* final energy: -6.526 eV/atom
* space group: No. 119

Record 25
Density functional theory data (PBEsol) for a geometry-optimized InMoO2 structure.

```
InMoO2
1.0
2.8599 0.0000 0.0000
-1.4300 2.4768 0.0000
0.0000 0.0000 21.7016
In Mo O
3 3 6
direct
0.0000 0.0000 0.0000 In
0.3333 0.6667 0.6667 In
0.6667 0.3333 0.3333 In
0.0000 0.0000 0.5000 Mo
0.3333 0.6667 0.1667 Mo
0.6667 0.3333 0.8333 Mo
0.0000 0.0000 0.1070 O
0.0000 0.0000 0.8930 O
0.3333 0.6667 0.5597 O
0.3333 0.6667 0.7737 O
0.6667 0.3333 0.2263 O
0.6667 0.3333 0.4403 O
```

* formation energy (no corrections): -1.311 eV/atom
* final energy: -7.623 eV/atom
* space group: No. 166

Record 26
Density functional theory data (PBEsol) for a geometry-optimized InMoOs2O structure.

```
InMoOs2O
1.0
4.1597 0.0000 0.0000
0.0000 4.1597 0.0000
0.0000 0.0000 4.0601
In Mo Os O
1 1 2 1
direct
0.0000 0.0000 0.0000 In
0.5000 0.5000 0.0000 Mo
0.0000 0.5000 0.5000 Os
0.5000 0.0000 0.5000 Os
0.5000 0.5000 0.5000 O
```

* formation energy (no corrections): 0.498 eV/atom
* final energy: -8.389 eV/atom
* space group: No. 123